## 1
A relaxed structure of PmDyPO. Source: OQMD via LeMat-Bulk, functional PBE-GGA.

* space-group type: No. 129
* magnetization: 0.002 Bohr magnetons per cell
* mass density: 7.2 Mg/m³
* volume: 81.8 Å³/f.u.

Unit cell a=4.3228 b=4.3228 c=8.7551 alpha=90.00 beta=90.00 gamma=90.00
Fractional coordinates of all 8 atoms:
Dy (0.0000, 0.5000, 0.0981)
Dy (0.5000, 0.0000, 0.9019)
O (0.0000, 0.0000, 0.0000)
O (0.5000, 0.5000, 0.0000)
P (0.5000, 0.0000, 0.2922)
P (0.0000, 0.5000, 0.7078)
Pm (0.0000, 0.0000, 0.5000)
Pm (0.5000, 0.5000, 0.5000)

---

## 2
A relaxed structure of PmDyPO. Source: OQMD via LeMat-Bulk, functional PBE-GGA.

* space-group type: No. 26
* magnetization: 0.024 Bohr magnetons per cell
* mass density: 6.3 Mg/m³
* volume: 93.7 Å³/f.u.

Unit cell a=4.2587 b=7.4858 c=5.8769 alpha=90.00 beta=90.00 gamma=90.00
Fractional coordinates of all 8 atoms:
Dy (0.5000, 0.3812, 0.0043)
Dy (0.5000, 0.6188, 0.5043)
O (0.5000, 0.3357, 0.3779)
O (0.5000, 0.6643, 0.8779)
P (0.0000, 0.8263, 0.4337)
P (0.0000, 0.1737, 0.9337)
Pm (0.0000, 0.1981, 0.4381)
Pm (0.0000, 0.8019, 0.9381)

---

2 has the most favorable energy; the next structure is 182 meV/atom above.

---

## 1
A relaxed structure of ZnTc. Source: OQMD via LeMat-Bulk, functional PBE-GGA.

* space-group type: No. 57
* magnetization: 0.011 Bohr magnetons per cell
* mass density: 9.4 Mg/m³
* volume: 28.8 Å³/f.u.

Unit cell a=4.2754 b=6.3010 c=4.2722 alpha=90.00 beta=90.00 gamma=90.00
Fractional coordinates of all 8 atoms:
Tc (0.9170, 0.5145, 0.0000)
Tc (0.4170, 0.7355, 0.0000)
Tc (0.4163, 0.5145, 0.5000)
Tc (0.9164, 0.7356, 0.5000)
Zn (0.9179, 0.0061, 0.0000)
Zn (0.4179, 0.2439, 0.0000)
Zn (0.4155, 0.0061, 0.5000)
Zn (0.9155, 0.2439, 0.5000)

---

## 2
A relaxed structure of ZnTc. Source: OQMD via LeMat-Bulk, functional PBE-GGA.

* space-group type: No. 25
* magnetization: 0.007 Bohr magnetons per cell
* mass density: 9.5 Mg/m³
* volume: 28.4 Å³/f.u.

Unit cell a=4.7664 b=5.3647 c=4.4487 alpha=90.00 beta=90.00 gamma=90.00
Fractional coordinates of all 8 atoms:
Tc (0.0109, 0.0000, 0.0000)
Tc (0.3367, 0.0000, 0.5000)
Tc (0.8251, 0.2623, 0.5000)
Tc (0.8251, 0.7377, 0.5000)
Zn (0.5051, 0.2422, 0.0000)
Zn (0.9975, 0.5000, 0.0000)
Zn (0.5051, 0.7578, 0.0000)
Zn (0.3279, 0.5000, 0.5000)

---

1 has the most favorable energy; the next structure is 83 meV/atom above.